A geometry-optimized Zn2OsCO structure, computed with PBE-GGA.

Computed properties:
**SG**: P4/mmm (123)
**Total energy**: -4.325 eV/atom
**E_form (uncorrected)**: 1.266 eV per atom

a b c (Å): 3.7515 4.4203 3.7515
angles (deg): 90.00 90.00 90.00
Closest atoms and distances in Å follow each position.
Positions (direct):
Zn: 0.0000 0.0000 0.5000  2 O 1.88
Zn: 0.5000 0.0000 0.0000  2 O 1.88
C: 0.0000 0.5000 0.0000  2 O 2.21
O: 0.0000 0.0000 0.0000  4 Zn 1.88
Os: 0.5000 0.5000 0.5000  4 C 2.65, 8 Zn 2.90